Material: RuCIN2
Method: DFT, PBE
State: relaxed

Calculated values
raw formation energy: 2713 meV per atom
V: 12.1 Å³/atom
total energy: -4.6269 eV/atom
excess energy over the best structure of this formula in the dataset: 4.182 eV/f.u.
magnetization: 0.000 μB per atom

Geometry as CIF:
```
data_RuCIN2
_space_group_name_H-M_alt 'P 4/m m m'
_space_group_IT_number 123
_space_group_name_Hall '-P 4 2'
_cell_length_a 3.742
_cell_length_b 3.742
_cell_length_c 4.307
_cell_angle_alpha 90.00
_cell_angle_beta 90.00
_cell_angle_gamma 90.00
loop_
_atom_site_label
_atom_site_type_symbol
_atom_site_fract_x
_atom_site_fract_y
_atom_site_fract_z
_atom_site_occupancy
Ru1 Ru 0.000 0.000 0.000 1
C1 C 0.500 0.500 0.500 1
I1 I 0.500 0.500 0.000 1
N1 N 0.000 0.500 0.500 1
```

=====

Material: RuCIN2
Method: DFT, PBE
State: relaxed

Calculated values
raw formation energy: 1877 meV per atom
V: 16.5 Å³/atom
total energy: -5.4633 eV/atom
excess energy over the best structure of this formula in the dataset: 0.000 eV/f.u.
magnetization: 0.285 μB per atom

Geometry as CIF:
```
data_RuCIN2
_space_group_name_H-M_alt 'P 4/m m m'
_space_group_IT_number 123
_space_group_name_Hall '-P 4 2'
_cell_length_a 3.742
_cell_length_b 3.742
_cell_length_c 5.905
_cell_angle_alpha 90.00
_cell_angle_beta 90.00
_cell_angle_gamma 90.00
loop_
_atom_site_label
_atom_site_type_symbol
_atom_site_fract_x
_atom_site_fract_y
_atom_site_fract_z
_atom_site_occupancy
Ru1 Ru 0.000 0.000 0.000 1
C1 C 0.500 0.500 0.500 1
I1 I 0.000 0.000 0.500 1
N1 N 0.000 0.500 0.000 1
```

=====

Material: SbCIN2
Method: DFT, PBE
State: relaxed

Calculated values
raw formation energy: 2309 meV per atom
V: 22.5 Å³/atom
total energy: -4.0008 eV/atom
excess energy over the best structure of this formula in the dataset: 0.000 eV/f.u.
magnetization: 0.353 μB per atom

Geometry as CIF:
```
data_SbCIN2
_space_group_name_H-M_alt 'P 4/m m m'
_space_group_IT_number 123
_space_group_name_Hall '-P 4 2'
_cell_length_a 3.920
_cell_length_b 3.920
_cell_length_c 7.310
_cell_angle_alpha 90.00
_cell_angle_beta 90.00
_cell_angle_gamma 90.00
loop_
_atom_site_label
_atom_site_type_symbol
_atom_site_fract_x
_atom_site_fract_y
_atom_site_fract_z
_atom_site_occupancy
Sb1 Sb 0.000 0.000 0.000 1
C1 C 0.500 0.500 0.500 1
I1 I 0.000 0.000 0.500 1
N1 N 0.000 0.500 0.000 1
```

=====

Material: SbCI2N
Method: DFT, PBE
State: relaxed

Calculated values
raw formation energy: 908 meV per atom
V: 35.0 Å³/atom
total energy: -4.0464 eV/atom
excess energy over the best structure of this formula in the dataset: 0.000 eV/f.u.
magnetization: 0.000 μB per atom

Geometry as CIF:
```
data_SbCI2N
_space_group_name_H-M_alt 'P 4/m m m'
_space_group_IT_number 123
_space_group_name_Hall '-P 4 2'
_cell_length_a 8.117
_cell_length_b 8.117
_cell_length_c 2.657
_cell_angle_alpha 90.00
_cell_angle_beta 90.00
_cell_angle_gamma 90.00
loop_
_atom_site_label
_atom_site_type_symbol
_atom_site_fract_x
_atom_site_fract_y
_atom_site_fract_z
_atom_site_occupancy
Sb1 Sb 0.000 0.000 0.000 1
C1 C 0.500 0.500 0.500 1
I1 I 0.000 0.500 0.500 1
N1 N 0.500 0.500 0.000 1
```